! SiNi2Au, optimized geometry, DFT PBE; values from VASP
&SYSTEM
  ibrav = 0, nat = 16, ntyp = 3
/
ATOMIC_SPECIES
Si 28.09 Si.upf
Ni 58.69 Ni.upf
Au 196.97 Au.upf
CELL_PARAMETERS angstrom
6.617 0.000 0.000
0.000 6.617 0.000
0.000 0.000 5.083
ATOMIC_POSITIONS crystal
Si 0.000 0.000 0.000
Si 0.000 0.500 0.250
Si 0.500 0.000 0.750
Si 0.500 0.500 0.500
Ni 0.205 0.250 0.125
Ni 0.250 0.705 0.375
Ni 0.250 0.795 0.875
Ni 0.295 0.250 0.625
Ni 0.705 0.750 0.625
Ni 0.750 0.205 0.875
Ni 0.750 0.295 0.375
Ni 0.795 0.750 0.125
Au 0.000 0.000 0.500
Au 0.000 0.500 0.750
Au 0.500 0.000 0.250
Au 0.500 0.500 0.000
! Crystal system: tetragonal
! DFT total energy (eV/atom): -5.11
! Uncorrected formation energy (eV/atom): -0.05

! AlOs2C2, optimized geometry, DFT PBE; values from VASP
&SYSTEM
  ibrav = 0, nat = 10, ntyp = 3
/
ATOMIC_SPECIES
Al 26.98 Al.upf
Os 190.23 Os.upf
C 12.01 C.upf
CELL_PARAMETERS angstrom
3.190 0.000 0.000
0.000 3.190 0.000
0.000 0.000 11.371
ATOMIC_POSITIONS crystal
Al 0.000 0.000 0.000
Al 0.500 0.500 0.500
Os 0.000 0.000 0.368
Os 0.000 0.000 0.632
Os 0.500 0.500 0.132
Os 0.500 0.500 0.868
C 0.000 0.500 0.250
C 0.000 0.500 0.750
C 0.500 0.000 0.250
C 0.500 0.000 0.750
! Crystal system: tetragonal
! Relative energy among the computed polymorphs (kJ/mol of atoms): 0.0
! DFT total energy (eV/atom): -8.23

! CaPrHg14, optimized geometry, DFT PBE; values from VASP
&SYSTEM
  ibrav = 0, nat = 16, ntyp = 3
/
ATOMIC_SPECIES
Ca 40.08 Ca.upf
Pr 140.91 Pr.upf
Hg 200.59 Hg.upf
CELL_PARAMETERS angstrom
6.770 0.000 0.000
0.000 6.770 0.000
0.000 0.000 8.996
ATOMIC_POSITIONS crystal
Ca 0.000 0.000 0.000
Pr 0.500 0.500 0.000
Hg 0.000 0.000 0.500
Hg 0.000 0.500 0.000
Hg 0.000 0.500 0.500
Hg 0.248 0.248 0.256
Hg 0.248 0.248 0.744
Hg 0.248 0.752 0.256
Hg 0.248 0.752 0.744
Hg 0.500 0.000 0.000
Hg 0.500 0.000 0.500
Hg 0.500 0.500 0.500
Hg 0.752 0.248 0.256
Hg 0.752 0.248 0.744
Hg 0.752 0.752 0.256
Hg 0.752 0.752 0.744
! Crystal system: tetragonal
! DFT total energy (eV/atom): -0.88

! TaBRhF2, optimized geometry, DFT PBE; values from VASP
&SYSTEM
  ibrav = 0, nat = 5, ntyp = 4
/
ATOMIC_SPECIES
Ta 180.95 Ta.upf
B 10.81 B.upf
Rh 102.91 Rh.upf
F 19.00 F.upf
CELL_PARAMETERS angstrom
3.878 0.000 0.000
0.000 3.878 0.000
0.000 0.000 5.136
ATOMIC_POSITIONS crystal
Ta 0.000 0.000 0.000
B 0.500 0.500 0.500
Rh 0.000 0.000 0.500
F 0.000 0.500 0.000
F 0.500 0.000 0.000
! Crystal system: tetragonal
! DFT total energy (eV/atom): -6.33
! Uncorrected formation energy (eV/atom): -0.41

Number 1: calculated volume 13.908 Å³/atom. Number 2: calculated volume 11.568 Å³/atom. Number 3: calculated volume 25.767 Å³/atom. Number 4: calculated volume 15.448 Å³/atom.